First-principles (PBE-GGA) data for YCr2Pb after structural relaxation, as listed in Alexandria via LeMat-Bulk.

a b c (Å): 5.239 5.239 5.476
angles (deg): 79.28 79.28 38.06
Atoms (fractional coordinates):
Cr (0.004, 0.004, 0.996)
Cr (0.496, 0.496, 0.504)
Pb (0.750, 0.750, 0.750)
Y (0.250, 0.250, 0.250)

Properties
* DOS at the Fermi energy: 0.906 states/eV per atom
* calculated volume: 90.8 Å³ per cell
* energy of formation from the pure elements: 0.545 eV/atom

First-principles (PBE-GGA) data for La3Y4Ho3 after structural relaxation, as listed in Alexandria via LeMat-Bulk.

a b c (Å): 3.719 9.589 9.589
angles (deg): 90.69 90.00 90.00
Atoms (fractional coordinates):
La (0.500, 0.826, 0.174)
La (0.500, 0.324, 0.326)
La (0.500, 0.674, 0.676)
Y (0.000, 0.625, 0.375)
Y (0.000, 0.373, 0.627)
Y (0.000, 0.881, 0.872)
Y (0.000, 0.128, 0.119)
Ho (0.000, 0.490, 0.996)
Ho (0.000, 0.004, 0.510)
Ho (0.500, 0.175, 0.825)

Properties
* DOS at the Fermi energy: 1.010 states/eV per atom
* calculated volume: 341.9 Å³ per cell
* energy of formation from the pure elements: 0.125 eV/atom

First-principles (PBE-GGA) data for CaGeP after structural relaxation, as listed in Alexandria via LeMat-Bulk.

a b c (Å): 3.652 5.437 7.510
angles (deg): 86.82 75.92 70.32
Atoms (fractional coordinates):
Ge (0.957, 0.255, 0.735)
Ge (0.224, 0.184, 0.273)
Ca (0.136, 0.647, 0.985)
Ca (0.778, 0.822, 0.526)
P (0.451, 0.084, 0.918)
P (0.556, 0.500, 0.291)

Properties
* DOS at the Fermi energy: 0.131 states/eV per atom
* calculated volume: 136.1 Å³ per cell
* energy of formation from the pure elements: -0.575 eV/atom

First-principles (PBE-GGA) data for TiNbRh after structural relaxation, as listed in Alexandria via LeMat-Bulk.

a b c (Å): 5.812 5.812 7.815
angles (deg): 115.08 115.08 81.97
Atoms (fractional coordinates):
Rh (0.163, 0.163, 0.326)
Rh (0.837, 0.837, 0.674)
Rh (0.087, 0.587, 0.174)
Rh (0.413, 0.913, 0.826)
Nb (0.625, 0.875, 0.250)
Nb (0.625, 0.375, 0.750)
Nb (0.625, 0.375, 0.250)
Nb (0.125, 0.375, 0.750)
Ti (0.406, 0.906, 0.500)
Ti (0.156, 0.156, 0.000)
Ti (0.094, 0.594, 0.500)
Ti (0.844, 0.844, 0.000)

Properties
* relative energy among the computed polymorphs: 369.5 meV per atom
* DOS at the Fermi energy: 1.141 states/eV per atom
* calculated volume: 216.3 Å³ per cell
* energy of formation from the pure elements: 0.082 eV/atom